This record from Alexandria via LeMat-Bulk describes an optimized crystal structure of Pr2TmAu2. The functional is GGA-PBE.

Geometry as POSCAR:
```
Pr2TmAu2
1.0
4.0059 0.0000 0.0000
0.0000 7.0937 0.0000
0.0000 0.0000 9.8592
Pr Tm Au
4 2 4
Direct
0.0000 0.0000 0.1999
0.0000 0.0000 0.8001
0.5000 0.5000 0.3001
0.5000 0.5000 0.6999
0.0000 0.5000 0.0000
0.5000 0.0000 0.5000
0.0000 0.2893 0.5000
0.0000 0.7107 0.5000
0.5000 0.2107 0.0000
0.5000 0.7893 0.0000
```

Computed properties:
SG ... Immm (71)
N(E_F) ... 6.5 states/eV/f.u.

***

This record from Alexandria via LeMat-Bulk describes an optimized crystal structure of PrTm5Au4. The functional is GGA-PBE.

Geometry as POSCAR:
```
PrTm5Au4
1.0
3.5311 0.0000 0.0000
0.0000 3.5311 0.0000
0.0000 0.0000 19.6899
Pr Tm Au
1 5 4
Direct
0.0000 0.0000 0.0000
0.5000 0.5000 0.1362
0.5000 0.5000 0.3167
0.5000 0.5000 0.5000
0.5000 0.5000 0.6833
0.5000 0.5000 0.8638
0.0000 0.0000 0.2225
0.0000 0.0000 0.4084
0.0000 0.0000 0.5916
0.0000 0.0000 0.7775
```

Computed properties:
SG ... P4/mmm (123)
N(E_F) ... 6.0 states/eV/f.u.

***

This record from Alexandria via LeMat-Bulk describes an optimized crystal structure of Pr3TmAu3. The functional is GGA-PBE.

Geometry as POSCAR:
```
Pr3TmAu3
1.0
4.9039 -5.4854 0.0000
4.9039 5.4854 0.0000
-0.2037 0.0000 7.3973
Pr Tm Au
6 2 6
Direct
0.1774 0.8226 0.0000
0.2628 0.7372 0.5000
0.3435 0.3435 0.1181
0.6565 0.6565 0.8819
0.7372 0.2628 0.5000
0.8226 0.1774 0.0000
0.2499 0.2499 0.6198
0.7501 0.7501 0.3802
0.0267 0.4933 0.7782
0.0637 0.0637 0.3169
0.4933 0.0267 0.7782
0.5067 0.9733 0.2218
0.9363 0.9363 0.6831
0.9733 0.5067 0.2218
```

Computed properties:
SG ... C2/m (12)
N(E_F) ... 5.5 states/eV/f.u.

***

This record from Alexandria via LeMat-Bulk describes an optimized crystal structure of PrTmAu. The functional is GGA-PBE.

Geometry as POSCAR:
```
PrTmAu
1.0
3.6158 0.0000 0.0000
0.0000 3.6158 0.0000
0.0000 0.0000 12.7683
Pr Tm Au
2 2 2
Direct
0.0000 0.0000 0.0000
0.5000 0.5000 0.5000
0.0000 0.0000 0.2865
0.5000 0.5000 0.7865
0.0000 0.0000 0.6701
0.5000 0.5000 0.1701
```

Computed properties:
SG ... I4mm (107)
N(E_F) ... 4.0 states/eV/f.u.

***

This record from Alexandria via LeMat-Bulk describes an optimized crystal structure of PrTmAu. The functional is GGA-PBE.

Geometry as POSCAR:
```
PrTmAu
1.0
7.1394 0.0000 0.0000
0.0000 7.1394 0.0000
0.0000 0.0000 7.1394
Pr Tm Au
4 4 4
Direct
0.0000 0.0000 0.0000
0.0000 0.5000 0.5000
0.5000 0.0000 0.5000
0.5000 0.5000 0.0000
0.0000 0.0000 0.5000
0.0000 0.5000 0.0000
0.5000 0.0000 0.0000
0.5000 0.5000 0.5000
0.2500 0.2500 0.7500
0.2500 0.7500 0.2500
0.7500 0.2500 0.2500
0.7500 0.7500 0.7500
```

Computed properties:
SG ... F-43m (216)
N(E_F) ... 4.0 states/eV/f.u.

***

This record from Alexandria via LeMat-Bulk describes an optimized crystal structure of Pr2TmAu3. The functional is GGA-PBE.

Geometry as POSCAR:
```
Pr2TmAu3
1.0
5.1647 0.0000 0.0000
0.0000 15.8785 0.0000
0.0000 0.0000 3.6528
Pr Tm Au
4 2 6
Direct
0.2500 0.0818 0.0175
0.2500 0.4182 0.0175
0.7500 0.5818 0.9825
0.7500 0.9182 0.9825
0.2500 0.7500 0.9865
0.7500 0.2500 0.0135
0.2500 0.2500 0.5127
0.2500 0.5990 0.4843
0.2500 0.9010 0.4843
0.7500 0.0990 0.5157
0.7500 0.4010 0.5157
0.7500 0.7500 0.4873
```

Computed properties:
SG ... Pmmn (59)
N(E_F) ... 4.6 states/eV/f.u.

***

| no. | calculated formation energy (eV per atom) | calculated density (g/cm3) | raw total energy (eV/atom) |
| --- | --- | --- | --- |
| 1 | -0.62 | 10.0 | -4.733 |
| 2 | -0.71 | 12.0 | -4.733 |
| 3 | -0.60 | 9.9 | -4.687 |
| 4 | -0.53 | 10.1 | -4.703 |
| 5 | -0.40 | 9.3 | -4.579 |
| 6 | -0.78 | 11.5 | -4.761 |